The following is a PBE+U calculation of PmTaNiO6 after structural relaxation, from the Alexandria database.

Space group: P4_2nm, No. 102
Calculated total energy: -67.67 eV per formula unit
Volume: 238.1 Å³ per cell

Cell lengths 4.9425, 4.9425, 9.7460 Å; angles 90.00, 90.00, 90.00 degrees
Atoms (fractional coordinates):
Pm  0.0000  0.0000  0.0000
Pm  0.5000  0.5000  0.5000
Ta  0.0000  0.0000  0.6580
Ta  0.5000  0.5000  0.1580
Ni  0.0000  0.0000  0.3276
Ni  0.5000  0.5000  0.8276
O  0.1732  0.1732  0.4918
O  0.2045  0.2045  0.7980
O  0.2166  0.2166  0.1822
O  0.2834  0.7166  0.6822
O  0.2955  0.7045  0.2980
O  0.3268  0.6732  0.9918
O  0.6732  0.3268  0.9918
O  0.7045  0.2955  0.2980
O  0.7166  0.2834  0.6822
O  0.7834  0.7834  0.1822
O  0.7955  0.7955  0.7980
O  0.8268  0.8268  0.4918